{"formula": "TbTmScHg", "functional": "PBE", "state": "optimized geometry", "cell": [[5.289, 0.000, 0.000], [2.644, 4.580, 0.000], [2.644, 1.527, 4.318]], "species": ["Sc", "Tm", "Tb", "Hg"], "fractional_positions": [[0.250, 0.250, 0.250], [0.500, 0.500, 0.500], [0.000, 0.000, 0.000], [0.750, 0.750, 0.750]], "e_form_ev_per_atom": -0.074}


{"formula": "Ac3La4Pm", "functional": "PBE", "state": "optimized geometry", "cell": [[6.648, 0.000, 0.000], [0.000, 7.772, 0.000], [0.000, 0.000, 12.350]], "species": ["Ac", "Ac", "Ac", "Ac", "Ac", "Ac", "La", "La", "La", "La", "La", "La", "La", "La", "Pm", "Pm"], "fractional_positions": [[0.633, 0.630, 0.000], [0.988, 0.636, 0.248], [0.488, 0.364, 0.252], [0.133, 0.370, 0.500], [0.488, 0.364, 0.748], [0.988, 0.636, 0.752], [0.158, 0.895, 0.000], [0.658, 0.116, 0.000], [0.976, 0.121, 0.247], [0.476, 0.879, 0.253], [0.158, 0.884, 0.500], [0.658, 0.105, 0.500], [0.476, 0.879, 0.747], [0.976, 0.121, 0.753], [0.138, 0.370, 0.000], [0.638, 0.630, 0.500]], "e_form_ev_per_atom": 0.040, "relative_energy_mev_per_atom": 15.0}


{"formula": "AcPm7Ho2", "functional": "PBE", "state": "optimized geometry", "cell": [[-4.941, -0.158, -3.123], [-4.281, -4.170, 6.983], [0.176, 9.159, -0.741]], "species": ["Ac", "Pm", "Pm", "Pm", "Pm", "Pm", "Pm", "Pm", "Ho", "Ho"], "fractional_positions": [[0.000, 0.000, 0.000], [0.000, 0.764, 0.236], [0.000, 0.236, 0.764], [0.500, 0.060, 0.300], [0.500, 0.940, 0.700], [0.500, 0.300, 0.060], [0.500, 0.700, 0.940], [0.500, 0.500, 0.500], [0.500, 0.703, 0.297], [0.500, 0.297, 0.703]], "e_form_ev_per_atom": 0.625, "relative_energy_mev_per_atom": 442.0}


{"formula": "KAlVRu2", "functional": "PBE", "state": "optimized geometry", "cell": [[-4.134, -0.056, 1.868], [0.673, -4.274, 1.363], [1.934, 1.686, 4.331]], "species": ["Ru", "Ru", "K", "Al", "V"], "fractional_positions": [[0.000, 0.500, 0.000], [0.500, 0.000, 0.000], [0.500, 0.500, 0.500], [0.000, 0.000, 0.500], [0.000, 0.000, 0.000]], "e_form_ev_per_atom": 0.893}


{"formula": "Ce2YSb", "functional": "PBE", "state": "optimized geometry", "cell": [[5.163, 0.000, 0.000], [0.000, 4.552, 0.000], [0.000, 0.000, 4.552]], "species": ["Y", "Sb", "Ce", "Ce"], "fractional_positions": [[0.500, 0.000, 0.000], [0.500, 0.500, 0.500], [0.000, 0.000, 0.500], [0.000, 0.500, 0.000]], "formation_energy_uncorrected_ev_per_atom": -0.5247, "relative_energy_mev_per_atom": 71.9}


{"formula": "NdTmCCl", "functional": "PBE", "state": "optimized geometry", "cell": [[-1.033, 0.515, 3.471], [0.562, -3.389, -1.258], [7.236, 1.181, 0.050]], "species": ["Nd", "Tm", "C", "Cl"], "fractional_positions": [[0.510, 0.153, 0.679], [0.095, 0.945, 0.055], [0.318, 0.557, 0.891], [0.954, 0.375, 0.345]], "formation_energy_uncorrected_ev_per_atom": -1.0548}


{"formula": "KMnI2Cl", "functional": "PBE", "state": "optimized geometry", "cell": [[5.905, 0.000, 0.000], [0.000, 5.905, 0.000], [0.000, 0.000, 4.911]], "species": ["I", "I", "K", "Mn", "Cl"], "fractional_positions": [[0.000, 0.500, 0.000], [0.500, 0.000, 0.000], [0.500, 0.500, 0.500], [0.000, 0.000, 0.000], [0.000, 0.000, 0.500]], "formation_energy_uncorrected_ev_per_atom": -0.9817}


{"formula": "Mn3VRu4", "functional": "PBE", "state": "optimized geometry", "cell": [[-1.691, 1.502, -2.002], [-3.196, 0.111, 2.783], [2.912, 7.346, 3.053]], "species": ["Ru", "Ru", "Ru", "Ru", "Mn", "Mn", "Mn", "V"], "fractional_positions": [[0.000, 0.000, 0.500], [0.000, 0.500, 0.755], [0.000, 0.000, 0.000], [0.000, 0.500, 0.245], [0.500, 0.000, 0.252], [0.500, 0.500, 0.500], [0.500, 0.000, 0.748], [0.500, 0.500, 0.000]], "e_form_ev_per_atom": -0.072}


{"formula": "Zr5CdPt", "functional": "PBE", "state": "optimized geometry", "cell": [[-2.428, -4.483, 1.836], [3.480, -0.345, 4.139], [-6.052, 4.191, 7.992]], "species": ["Zr", "Zr", "Zr", "Zr", "Zr", "Zr", "Zr", "Zr", "Zr", "Zr", "Cd", "Cd", "Pt", "Pt"], "fractional_positions": [[0.923, 0.529, 0.132], [0.224, 0.499, 0.560], [0.529, 0.923, 0.632], [0.994, 0.006, 0.250], [0.501, 0.776, 0.940], [0.499, 0.224, 0.060], [0.006, 0.994, 0.750], [0.471, 0.077, 0.368], [0.776, 0.501, 0.440], [0.077, 0.471, 0.868], [0.390, 0.610, 0.250], [0.610, 0.390, 0.750], [0.000, 0.000, 0.000], [0.000, 0.000, 0.500]], "e_form_ev_per_atom": -0.185}


{"formula": "CaP2N", "functional": "PBE", "state": "optimized geometry", "cell": [[-3.332, -2.108, -4.746], [5.192, -1.304, -3.066], [0.956, -4.975, -2.472]], "species": ["P", "P", "P", "P", "Ca", "Ca", "N", "N"], "fractional_positions": [[0.495, 0.125, 0.250], [0.255, 0.625, 0.250], [0.375, 0.505, 0.750], [0.875, 0.745, 0.750], [0.000, 0.000, 0.000], [0.750, 0.250, 0.500], [0.500, 0.500, 0.000], [0.250, 0.750, 0.500]], "formation_energy_uncorrected_ev_per_atom": 0.0744}


{"formula": "Nb3AuN", "functional": "PBE", "state": "optimized geometry", "cell": [[5.940, -0.002, 0.002], [0.002, 5.431, -0.015], [2.969, 1.837, 4.924]], "species": ["Nb", "Nb", "Nb", "Nb", "Nb", "Nb", "Au", "Au", "N", "N"], "fractional_positions": [[0.965, 0.198, 0.651], [0.200, 0.724, 0.679], [0.949, 0.186, 0.177], [0.703, 0.724, 0.679], [0.456, 0.186, 0.177], [0.706, 0.672, 0.170], [0.199, 0.685, 0.185], [0.445, 0.244, 0.691], [0.597, 0.920, 0.388], [0.838, 0.442, 0.906]], "formation_energy_uncorrected_ev_per_atom": -0.4558}


{"formula": "KZrZn2", "functional": "PBE", "state": "optimized geometry", "cell": [[-2.562, -2.814, -4.532], [-4.643, -3.512, 1.065], [1.747, 5.495, 1.335]], "species": ["K", "Zn", "Zn", "Zr"], "fractional_positions": [[0.750, 0.250, 0.500], [0.000, 0.000, 0.000], [0.250, 0.750, 0.500], [0.500, 0.500, 0.000]], "e_form_ev_per_atom": 0.596, "relative_energy_mev_per_atom": 522.9}


Question: Which formula does entry 6 have?
Answer: NdTmCCl